## i
Computed, not measured: crystalline OsAu2 at its relaxed geometry at the PBE level of DFT.

Calculated values
total moment: 0.0 μB per cell
volume: 17.01 Å³ per atom

a = 10.6877 Å, b = 2.8331 Å, c = 7.0232 Å
α = 90.00°, β = 106.31°, γ = 90.00°
With the nearest neighbours (Å) after each atom.
Space group Cm (No. 8)
Symmetry-distinct sites (fractional):
Os 0.0000 0.0000 0.0000 [2 per cell]  4 Os 2.53-2.83, 4 Au 2.79-2.82
Os 0.1407 0.5000 0.2770 [2 per cell]  4 Os 2.53-2.83
Au 0.0928 0.5000 0.7254 [2 per cell]  2 Os 2.79, 9 Au 2.83-2.97
Au 0.2833 0.0000 0.0486 [2 per cell]  5 Os 2.82-2.95, 7 Au 2.83-2.99
Au 0.3042 0.0000 0.6323 [2 per cell]  8 Au 2.83-2.99, 4 Os 2.97-3.17
Au 0.4399 0.5000 0.3872 [2 per cell]  8 Au 2.83-2.91, 4 Os 2.85-3.07

## ii
Computed, not measured: crystalline OsAu2 at its relaxed geometry at the PBE level of DFT.

Calculated values
total moment: 2.0 μB per cell
volume: 17.03 Å³ per atom

a = 8.0460 Å, b = 8.0460 Å, c = 2.7332 Å
α = 90.00°, β = 90.00°, γ = 120.00°
With the nearest neighbours (Å) after each atom.
Space group P-62m (No. 189)
Symmetry-distinct sites (fractional):
Os 0.0000 0.0000 0.0000 [1 per cell]  2 Os 2.73, 9 Au 2.74-3.03
Os 0.3333 0.6667 0.5000 [2 per cell]  2 Os 2.73, 9 Au 2.85-2.87
Au 0.0000 0.2958 0.5000 [3 per cell]  4 Au 2.73-2.97, 4 Os 2.74-2.85
Au 0.0000 0.6235 0.0000 [3 per cell]  4 Au 2.73-2.97, 5 Os 2.87-3.03

i is favored, and the nearest alternative lies 245 meV/atom above it.